# 1
# Mo2Br

A PBEsol-optimized structure of Mo2Br (SCAN, Alexandria via LeMat-Bulk).

Cell: 5.047 5.047 5.047 Å, 107.94 107.94 112.59°
Atoms (fractional coordinates):
Mo: 0.141 0.641 0.783
Mo: 0.359 0.141 0.500
Mo: 0.641 0.859 0.500
Mo: 0.859 0.359 0.217
Br: 0.250 0.250 0.000
Br: 0.750 0.750 0.000

Values from the calculation:
- Relative energy among the computed polymorphs: 297 meV/atom
- E: -28.467 eV per atom

---

# 2
# MgCu2W

A PBEsol-optimized structure of MgCu2W (SCAN, Alexandria via LeMat-Bulk).

Cell: 2.657 4.172 5.182 Å, 90.00 104.81 90.00°
Atoms (fractional coordinates):
Mg: 0.000 0.000 0.000
Cu: 0.266 0.000 0.526
Cu: 0.406 0.500 0.813
W: 0.672 0.500 0.342

Values from the calculation:
- E: -25.966 eV per atom
- Formation energy: 0.299 eV/atom

---

# 3
# Be2AgCl

A PBEsol-optimized structure of Be2AgCl (SCAN, Alexandria via LeMat-Bulk).

Cell: 6.096 6.096 6.096 Å, 149.02 149.02 44.39°
Atoms (fractional coordinates):
Be: 0.000 0.000 0.000
Be: 0.750 0.250 0.500
Ag: 0.250 0.750 0.500
Cl: 0.500 0.500 0.000

Values from the calculation:
- Relative energy among the computed polymorphs: 387 meV/atom
- E: -11.560 eV per atom

---

# 4
# ScTl2Se

A PBEsol-optimized structure of ScTl2Se (SCAN, Alexandria via LeMat-Bulk).

Cell: 4.054 4.054 5.800 Å, 90.00 90.00 90.00°
Atoms (fractional coordinates):
Sc: 0.000 0.000 0.000
Tl: 0.500 0.500 0.250
Tl: 0.500 0.500 0.750
Se: 0.000 0.000 0.500

Values from the calculation:
- E: -45.028 eV per atom

---

# 5
# LiMg2Cr

A PBEsol-optimized structure of LiMg2Cr (SCAN, Alexandria via LeMat-Bulk).

Cell: 9.777 9.777 9.777 Å, 16.62 16.62 16.62°
Atoms (fractional coordinates):
Li: 0.000 0.000 0.000
Mg: 0.245 0.245 0.245
Mg: 0.755 0.755 0.755
Cr: 0.500 0.500 0.500

Values from the calculation:
- E: -7.249 eV per atom
- Formation energy: 0.431 eV/atom

---

# 6
# LaTcAg2Pd

A PBEsol-optimized structure of LaTcAg2Pd (SCAN, Alexandria via LeMat-Bulk).

Cell: 4.963 4.963 5.138 Å, 90.00 90.00 90.00°
Atoms (fractional coordinates):
La: 0.000 0.000 0.000
Tc: 0.500 0.500 0.000
Ag: 0.000 0.500 0.500
Ag: 0.500 0.000 0.500
Pd: 0.000 0.000 0.500

Values from the calculation:
- E: -33.904 eV per atom
- Formation energy: 0.831 eV/atom

---

# 7
# MgAlPt2

A PBEsol-optimized structure of MgAlPt2 (SCAN, Alexandria via LeMat-Bulk).

Cell: 4.555 4.555 2.876 Å, 90.00 90.00 101.24°
Atoms (fractional coordinates):
Mg: 0.000 0.000 0.000
Al: 0.500 0.500 0.000
Pt: 0.000 0.500 0.500
Pt: 0.500 0.000 0.500

Values from the calculation:
- E: -39.429 eV per atom
- Formation energy: -1.151 eV/atom

---

# 8
# CrAg2C

A PBEsol-optimized structure of CrAg2C (SCAN, Alexandria via LeMat-Bulk).

Cell: 4.295 4.295 4.295 Å, 60.00 60.00 60.00°
Atoms (fractional coordinates):
Cr: 0.000 0.000 0.000
Ag: 0.250 0.250 0.250
Ag: 0.750 0.750 0.750
C: 0.500 0.500 0.500

Values from the calculation:
- E: -21.396 eV per atom
- Formation energy: 1.409 eV/atom

---

# 9
# BaHgTeN2

A PBEsol-optimized structure of BaHgTeN2 (SCAN, Alexandria via LeMat-Bulk).

Cell: 4.672 4.672 5.578 Å, 90.00 90.00 90.00°
Atoms (fractional coordinates):
Ba: 0.000 0.000 0.000
Hg: 0.500 0.500 0.500
Te: 0.500 0.500 0.000
N: 0.000 0.500 0.500
N: 0.500 0.000 0.500

Values from the calculation:
- Relative energy among the computed polymorphs: 0 meV/atom
- E: -31.850 eV per atom

---

# 10
# Be2Au

A PBEsol-optimized structure of Be2Au (SCAN, Alexandria via LeMat-Bulk).

Cell: 4.488 4.488 5.834 Å, 108.92 108.92 37.43°
Atoms (fractional coordinates):
Be: 0.027 0.027 0.244
Be: 0.355 0.355 0.955
Be: 0.645 0.645 0.045
Be: 0.973 0.973 0.756
Au: 0.330 0.330 0.349
Au: 0.670 0.670 0.651

Values from the calculation:
- E: -26.162 eV per atom
- Formation energy: -0.207 eV/atom

---

# 11
# SrZnF4

A PBEsol-optimized structure of SrZnF4 (SCAN, Alexandria via LeMat-Bulk).

Cell: 6.961 6.961 6.961 Å, 134.00 134.00 67.09°
Atoms (fractional coordinates):
Sr: 0.375 0.125 0.250
Sr: 0.625 0.875 0.750
Zn: 0.125 0.375 0.750
Zn: 0.875 0.625 0.250
F: 0.046 0.204 0.330
F: 0.216 0.546 0.342
F: 0.296 0.126 0.842
F: 0.374 0.716 0.170
F: 0.626 0.284 0.830
F: 0.704 0.874 0.158
F: 0.784 0.454 0.658
F: 0.954 0.796 0.670

Values from the calculation:
- E: -11.657 eV per atom

---

# 12
# NaZn2Sn2

A PBEsol-optimized structure of NaZn2Sn2 (SCAN, Alexandria via LeMat-Bulk).

Cell: 7.920 7.920 3.427 Å, 90.00 90.00 90.00°
Atoms (fractional coordinates):
Na: 0.000 0.000 0.000
Na: 0.500 0.500 0.000
Zn: 0.120 0.380 0.000
Zn: 0.380 0.880 0.000
Zn: 0.620 0.120 0.000
Zn: 0.880 0.620 0.000
Sn: 0.176 0.676 0.500
Sn: 0.324 0.176 0.500
Sn: 0.676 0.824 0.500
Sn: 0.824 0.324 0.500

Values from the calculation:
- Relative energy among the computed polymorphs: 130 meV/atom
- E: -20.603 eV per atom
- Formation energy: 0.015 eV/atom

---

# 13
# Li2Ti3NiO8

A PBEsol-optimized structure of Li2Ti3NiO8 (SCAN, Alexandria via LeMat-Bulk).

Cell: 5.838 5.838 5.838 Å, 60.85 60.85 60.85°
Atoms (fractional coordinates):
Li: 0.121 0.121 0.121
Li: 0.879 0.879 0.879
Ti: 0.000 0.500 0.500
Ti: 0.500 0.000 0.500
Ti: 0.500 0.500 0.000
Ni: 0.500 0.500 0.500
O: 0.255 0.255 0.713
O: 0.255 0.713 0.255
O: 0.260 0.260 0.260
O: 0.287 0.745 0.745
O: 0.713 0.255 0.255
O: 0.740 0.740 0.740
O: 0.745 0.287 0.745
O: 0.745 0.745 0.287

Values from the calculation:
- Relative energy among the computed polymorphs: 0 meV/atom
- E: -11.331 eV per atom

---

# 14
# YBr2

A PBEsol-optimized structure of YBr2 (SCAN, Alexandria via LeMat-Bulk).

Cell: 8.710 8.710 5.633 Å, 90.00 90.00 154.70°
Atoms (fractional coordinates):
Y: 0.197 0.803 0.750
Y: 0.803 0.197 0.250
Br: 0.175 0.825 0.250
Br: 0.421 0.579 0.250
Br: 0.579 0.421 0.750
Br: 0.825 0.175 0.750

Values from the calculation:
- E: -23.967 eV per atom

---

# 15
# Mn2Ag2F

A PBEsol-optimized structure of Mn2Ag2F (SCAN, Alexandria via LeMat-Bulk).

Cell: 7.307 7.307 7.307 Å, 151.19 151.19 41.20°
Atoms (fractional coordinates):
Mn: 0.096 0.096 0.000
Mn: 0.904 0.904 0.000
Ag: 0.250 0.750 0.500
Ag: 0.750 0.250 0.500
F: 0.500 0.500 0.000

Values from the calculation:
- E: -20.667 eV per atom

---

# 16
# BaTe2Br

A PBEsol-optimized structure of BaTe2Br (SCAN, Alexandria via LeMat-Bulk).

Cell: 7.033 7.033 7.033 Å, 142.88 142.88 53.51°
Atoms (fractional coordinates):
Ba: 0.000 0.000 0.000
Te: 0.250 0.750 0.500
Te: 0.750 0.250 0.500
Br: 0.500 0.500 0.000

Values from the calculation:
- Relative energy among the computed polymorphs: 10 meV/atom
- E: -34.754 eV per atom

---

# 17
# FeTe2Pb

A PBEsol-optimized structure of FeTe2Pb (SCAN, Alexandria via LeMat-Bulk).

Cell: 3.617 5.119 5.266 Å, 90.00 90.00 90.00°
Atoms (fractional coordinates):
Fe: 0.000 0.000 0.000
Te: 0.000 0.500 0.500
Te: 0.500 0.500 0.000
Pb: 0.500 0.000 0.500

Values from the calculation:
- E: -41.563 eV per atom

---

# 18
# Mg2CrRe

A PBEsol-optimized structure of Mg2CrRe (SCAN, Alexandria via LeMat-Bulk).

Cell: 3.657 3.657 4.463 Å, 90.00 90.00 90.00°
Atoms (fractional coordinates):
Mg: 0.000 0.500 0.000
Mg: 0.500 0.000 0.000
Cr: 0.000 0.000 0.500
Re: 0.500 0.500 0.500

Values from the calculation:
- Relative energy among the computed polymorphs: 70 meV/atom
- E: -24.468 eV per atom
- Formation energy: 0.390 eV/atom

---

# 19
# FeTcBr2

A PBEsol-optimized structure of FeTcBr2 (SCAN, Alexandria via LeMat-Bulk).

Cell: 7.899 7.899 7.899 Å, 22.67 22.67 22.67°
Atoms (fractional coordinates):
Fe: 0.000 0.000 0.000
Tc: 0.500 0.500 0.500
Br: 0.253 0.253 0.253
Br: 0.747 0.747 0.747

Values from the calculation:
- Relative energy among the computed polymorphs: 348 meV/atom
- E: -22.290 eV per atom

---

# 20
# Be3TeSe

A PBEsol-optimized structure of Be3TeSe (SCAN, Alexandria via LeMat-Bulk).

Cell: 4.437 4.437 4.437 Å, 90.00 90.00 90.00°
Atoms (fractional coordinates):
Be: 0.000 0.000 0.500
Be: 0.000 0.500 0.000
Be: 0.500 0.000 0.000
Te: 0.500 0.500 0.500
Se: 0.000 0.000 0.000

Values from the calculation:
- E: -13.373 eV per atom

---

# 21
# Cs2IrPdPt

A PBEsol-optimized structure of Cs2IrPdPt (SCAN, Alexandria via LeMat-Bulk).

Cell: 6.068 6.068 4.687 Å, 90.00 90.00 90.00°
Atoms (fractional coordinates):
Cs: 0.000 0.500 0.000
Cs: 0.500 0.000 0.000
Ir: 0.000 0.000 0.500
Pd: 0.000 0.000 0.000
Pt: 0.500 0.500 0.500

Values from the calculation:
- E: -48.719 eV per atom
- Formation energy: 1.218 eV/atom

---

# 22
# KLi2In

A PBEsol-optimized structure of KLi2In (SCAN, Alexandria via LeMat-Bulk).

Cell: 6.085 6.085 6.085 Å, 135.54 135.54 64.69°
Atoms (fractional coordinates):
K: 0.000 0.000 0.000
Li: 0.500 0.500 0.000
Li: 0.750 0.250 0.500
In: 0.250 0.750 0.500

Values from the calculation:
- E: -11.616 eV per atom
- Formation energy: 0.007 eV/atom

---

# 23
# Al7Cu

A PBEsol-optimized structure of Al7Cu (SCAN, Alexandria via LeMat-Bulk).

Cell: 5.581 5.581 5.581 Å, 60.00 60.00 60.00°
Atoms (fractional coordinates):
Al: 0.000 0.000 0.000
Al: 0.000 0.000 0.500
Al: 0.000 0.500 0.000
Al: 0.000 0.500 0.500
Al: 0.500 0.000 0.000
Al: 0.500 0.000 0.500
Al: 0.500 0.500 0.000
Cu: 0.500 0.500 0.500

Values from the calculation:
- E: -8.717 eV per atom
- Formation energy: -0.034 eV/atom

---

# 24
# CaYTe2

A PBEsol-optimized structure of CaYTe2 (SCAN, Alexandria via LeMat-Bulk).

Cell: 7.646 7.646 7.646 Å, 32.87 32.87 32.87°
Atoms (fractional coordinates):
Ca: 0.000 0.000 0.000
Y: 0.500 0.500 0.500
Te: 0.249 0.249 0.249
Te: 0.751 0.751 0.751

Values from the calculation:
- Relative energy among the computed polymorphs: 0 meV/atom
- E: -29.631 eV per atom

---

# 25
# Na4Cd3H2C4O14

A PBEsol-optimized structure of Na4Cd3H2C4O14 (SCAN, Alexandria via LeMat-Bulk).

Cell: 9.367 3.427 19.098 Å, 90.00 98.87 90.00°
Atoms (fractional coordinates):
Na: 0.044 0.044 0.326
Na: 0.044 0.456 0.826
Na: 0.145 0.250 0.050
Na: 0.145 0.250 0.550
Na: 0.855 0.750 0.450
Na: 0.855 0.750 0.950
Na: 0.956 0.544 0.174
Na: 0.956 0.956 0.674
Cd: 0.421 0.039 0.821
Cd: 0.421 0.461 0.321
Cd: 0.500 0.000 0.500
Cd: 0.500 0.500 0.000
Cd: 0.579 0.539 0.679
Cd: 0.579 0.961 0.179
H: 0.379 0.548 0.120
H: 0.379 0.952 0.620
H: 0.621 0.048 0.380
H: 0.621 0.452 0.880
C: 0.214 0.607 0.433
C: 0.214 0.893 0.933
C: 0.234 0.584 0.695
C: 0.234 0.916 0.195
C: 0.766 0.084 0.805
C: 0.766 0.416 0.305
C: 0.786 0.107 0.067
C: 0.786 0.393 0.567
O: 0.103 0.731 0.953
O: 0.103 0.769 0.453
O: 0.122 0.050 0.217
O: 0.122 0.450 0.717
O: 0.214 0.543 0.366
O: 0.214 0.957 0.866
O: 0.226 0.744 0.134
O: 0.226 0.756 0.634
O: 0.323 0.507 0.480
O: 0.323 0.993 0.980
O: 0.363 0.548 0.735
O: 0.363 0.952 0.235
O: 0.480 0.033 0.613
O: 0.480 0.467 0.113
O: 0.520 0.533 0.887
O: 0.520 0.967 0.387
O: 0.637 0.048 0.765
O: 0.637 0.452 0.265
O: 0.677 0.007 0.020
O: 0.677 0.493 0.520
O: 0.774 0.244 0.366
O: 0.774 0.256 0.866
O: 0.786 0.043 0.134
O: 0.786 0.457 0.634
O: 0.878 0.550 0.283
O: 0.878 0.950 0.783
O: 0.897 0.231 0.547
O: 0.897 0.269 0.047

Values from the calculation:
- E: -10.607 eV per atom

---

Total magnetization
In order: 0.00, 0.00, 0.00, 0.00, 0.31, 3.45, 0.00, 3.99, 3.41, 0.00, 0.00, 0.00, 2.00, 0.00, 9.28, 0.00, 3.32, 1.40, 0.98, 0.00, 1.84, 0.15, 0.00, 0.00, 0.00
Unit: μB per formula unit